Density functional theory data (PBE) for TbNpCo4 after structural relaxation.

```
6
Lattice="-0.357 -1.540 -4.768 -3.620 -3.216 -1.337 -3.818 1.565 -2.866" Properties=species:S:1:pos:R:3 pbc="T T T"
Np 0.000 0.000 0.000
Co -2.958 -2.783 -4.172
Co -3.057 -0.381 -4.941
Co -4.876 -1.997 -5.612
Co -4.697 -1.223 -3.217
Tb -1.949 -0.798 -2.243
```

The density of states at the Fermi level comes out at 7.913 states/eV per cell. The formation energy is -100 meV per atom.

---

Density functional theory data (PBE) for Tb2NpCo2 after structural relaxation.

```
10
Lattice="5.800 0.123 0.827 2.657 5.157 0.827 0.103 0.064 7.063" Properties=species:S:1:pos:R:3 pbc="T T T"
Tb 3.312 1.288 1.620
Tb 5.897 2.902 3.565
Tb 5.248 4.056 7.096
Tb 2.663 2.442 5.151
Np 2.945 4.753 2.592
Np 5.615 0.591 6.124
Co 6.853 5.261 5.030
Co 0.875 1.529 7.217
Co 1.706 0.083 3.686
Co 7.685 3.815 1.499
```

The density of states at the Fermi level comes out at 21.499 states/eV per cell. The formation energy is -99 meV per atom.

---

Number 1 is which compound?
TbNpCo4

---

Which formula does entry 2 have?
Tb2NpCo2